Entry 1:
# SnPdF2

A relaxed structure of SnPdF2 (PBE, Alexandria via LeMat-Bulk).

The space group is Fm-3m (No. 225) and the conventional cell measures 6.183, 6.183 and 6.183 Å, with angles of 90.00, 90.00 and 90.00 degrees. The inequivalent atoms are Sn at (0.000, 0.000, 0.000), Pd at (0.000, 0.000, 0.500) and F at (0.250, 0.250, 0.250).

The value obtained for the final energy is -69.06 eV per cell. As for the total moment: 0.00 μB/cell. The value obtained for the offset from the most stable computed form is 0.1703 eV/atom. The energy relative to the elements, uncorrected is -1.08 eV/atom.

Entry 2:
# SnPd4F2

A relaxed structure of SnPd4F2 (PBE, Alexandria via LeMat-Bulk).

The space group is I4/mmm (No. 139) and the conventional cell measures 5.025, 5.025 and 11.625 Å, with angles of 90.00, 90.00 and 90.00 degrees. The inequivalent atoms are Sn at (0.000, 0.000, 0.000), Pd at (0.000, 0.000, 0.214), Pd at (0.000, 0.500, 0.000) and F at (0.000, 0.000, 0.394).

The value obtained for the final energy is -56.55 eV per cell. As for the total moment: 0.00 μB/cell. The energy relative to the elements, uncorrected is 0.03 eV/atom.

Entry 3:
# Sn2PdF

A relaxed structure of Sn2PdF (PBE, Alexandria via LeMat-Bulk).

The space group is I-42d (No. 122) and the conventional cell measures 5.211, 5.211 and 14.005 Å, with angles of 90.00, 90.00 and 90.00 degrees. The inequivalent atoms are Sn at (0.215, 0.250, 0.125), Pd at (0.000, 0.000, 0.500) and F at (0.000, 0.000, 0.000).

The value obtained for the final energy is -71.34 eV per cell. As for the total moment: 0.00 μB/cell. The value obtained for the offset from the most stable computed form is 0.1438 eV/atom. The energy relative to the elements, uncorrected is -0.69 eV/atom.

Entry 4:
# SnPdF2

A relaxed structure of SnPdF2 (PBE, Alexandria via LeMat-Bulk).

The space group is I-42d (No. 122) and the conventional cell measures 3.978, 3.978 and 15.811 Å, with angles of 90.00, 90.00 and 90.00 degrees. The inequivalent atoms are Sn at (0.000, 0.000, 0.000), Pd at (0.000, 0.000, 0.500) and F at (0.244, 0.250, 0.125).

The value obtained for the final energy is -71.79 eV per cell. As for the total moment: 0.00 μB/cell. The value obtained for the offset from the most stable computed form is 0.0000 eV/atom. The energy relative to the elements, uncorrected is -1.25 eV/atom.

Entry 5:
# Sn2PdF

A relaxed structure of Sn2PdF (PBE, Alexandria via LeMat-Bulk).

The space group is Fm-3m (No. 225) and the conventional cell measures 6.633, 6.633 and 6.633 Å, with angles of 90.00, 90.00 and 90.00 degrees. The inequivalent atoms are Sn at (0.250, 0.250, 0.250), Pd at (0.000, 0.000, 0.000) and F at (0.000, 0.000, 0.500).

The value obtained for the final energy is -73.64 eV per cell. As for the total moment: 0.00 μB/cell. The value obtained for the offset from the most stable computed form is 0.0000 eV/atom. The energy relative to the elements, uncorrected is -0.83 eV/atom.

Entry 6:
# SrSn2PdF

A relaxed structure of SrSn2PdF (PBE, Alexandria via LeMat-Bulk).

The space group is P4/mmm (No. 123) and the conventional cell measures 4.967, 4.967 and 4.845 Å, with angles of 90.00, 90.00 and 90.00 degrees. The inequivalent atoms are Sr at (0.000, 0.000, 0.000), Sn at (0.000, 0.500, 0.500), Pd at (0.500, 0.500, 0.000) and F at (0.000, 0.000, 0.500).

The value obtained for the final energy is -20.42 eV per cell. As for the total moment: 0.00 μB/cell. The energy relative to the elements, uncorrected is -0.73 eV/atom.

| no. | D(E_F) (states/eV per cell) |
| --- | --- |
| 1 | 0.0 |
| 2 | 13.9 |
| 3 | 6.4 |
| 4 | 0.0 |
| 5 | 7.6 |
| 6 | 2.8 |